VASP calculation (SCAN) on a PBEsol-optimized structure of BeCuHg2.

a = 3.120 Å, b = 3.120 Å, c = 6.249 Å
α = 90.00°, β = 90.00°, γ = 90.00°
Space group P4/mmm (No. 123)
Asymmetric unit:
Be 0.000 0.000 0.000 [1 per cell]
Cu 0.000 0.000 0.500 [1 per cell]
Hg 0.500 0.500 0.239 [2 per cell]

Summary:
crystal system = tetragonal
formation energy = 305 meV per atom



VASP calculation (SCAN) on a PBEsol-optimized structure of BeCuHg2.

a = 2.909 Å, b = 4.204 Å, c = 10.379 Å
α = 90.00°, β = 90.00°, γ = 90.00°
Space group Imm2 (No. 44)
Asymmetric unit:
Be 0.000 0.000 0.000 [2 per cell]
Cu 0.000 0.500 0.673 [2 per cell]
Hg 0.000 0.000 0.488 [2 per cell]
Hg 0.000 0.500 0.274 [2 per cell]

Summary:
crystal system = orthorhombic
formation energy = 235 meV per atom



VASP calculation (SCAN) on a PBEsol-optimized structure of BeCuHg2.

a = 3.0728 Å, b = 3.0728 Å, c = 23.6109 Å
α = 90.00°, β = 90.00°, γ = 120.00°
Space group R-3m (No. 166, hexagonal axes)
Asymmetric unit:
Be 0.0000 0.0000 0.0000 [3 per cell]
Cu 0.0000 0.0000 0.5000 [3 per cell]
Hg 0.0000 0.0000 0.2545 [6 per cell]

Summary:
crystal system = trigonal
formation energy = 352 meV per atom



VASP calculation (SCAN) on a PBEsol-optimized structure of Be3CuI.

a = 4.654 Å, b = 4.654 Å, c = 4.654 Å
α = 90.00°, β = 90.00°, γ = 90.00°
Space group Pm-3m (No. 221)
Asymmetric unit:
Be 0.000 0.000 0.500 [3 per cell]
Cu 0.500 0.500 0.500 [1 per cell]
I 0.000 0.000 0.000 [1 per cell]

Summary:
crystal system = cubic
final energy = -10.997 eV per atom



VASP calculation (SCAN) on a PBEsol-optimized structure of BeInCuI2.

a = 5.554 Å, b = 5.554 Å, c = 4.286 Å
α = 90.00°, β = 90.00°, γ = 90.00°
Space group P4/mmm (No. 123)
Asymmetric unit:
Be 0.000 0.000 0.000 [1 per cell]
In 0.500 0.500 0.000 [1 per cell]
Cu 0.000 0.000 0.500 [1 per cell]
I 0.000 0.500 0.500 [2 per cell]

Summary:
crystal system = tetragonal
final energy = -24.958 eV per atom



VASP calculation (SCAN) on a PBEsol-optimized structure of Be4InCu.

a = 6.335 Å, b = 6.335 Å, c = 6.335 Å
α = 90.00°, β = 90.00°, γ = 90.00°
Space group F-43m (No. 216)
Asymmetric unit:
Be 0.124 0.124 0.124 [16 per cell]
In 0.000 0.000 0.500 [4 per cell]
Cu 0.250 0.250 0.750 [4 per cell]

Summary:
crystal system = cubic
formation energy = 101 meV per atom



VASP calculation (SCAN) on a PBEsol-optimized structure of Be2CuIr.

a = 2.790 Å, b = 4.348 Å, c = 7.247 Å
α = 90.00°, β = 90.00°, γ = 90.00°
Space group Cmmm (No. 65)
Asymmetric unit:
Be 0.000 0.000 0.248 [4 per cell]
Cu 0.000 0.500 0.000 [2 per cell]
Ir 0.000 0.500 0.500 [2 per cell]

Summary:
energy relative to the lowest polymorph listed for this composition = 382 meV/atom
crystal system = orthorhombic
formation energy = -184 meV per atom



VASP calculation (SCAN) on a PBEsol-optimized structure of Be2CuIr.

a = 5.450 Å, b = 5.450 Å, c = 5.450 Å
α = 90.00°, β = 90.00°, γ = 90.00°
Space group Fm-3m (No. 225)
Asymmetric unit:
Be 0.250 0.250 0.250 [8 per cell]
Cu 0.000 0.000 0.000 [4 per cell]
Ir 0.000 0.000 0.500 [4 per cell]

Summary:
energy relative to the lowest polymorph listed for this composition = 14 meV/atom
crystal system = cubic
formation energy = -552 meV per atom